Crystalline TaAlCu3 at its relaxed geometry, computed with GGA-PBE.

Computed properties:
Offset from the most stable computed form in meV per atom: 0
Density of states at the Fermi level in states/eV per cell: 2.35
Formation enthalpy at 0 K in eV per atom: 0.851

CIF file:
```
data_TaAlCu3
_space_group_name_H-M_alt 'P 1'
_space_group_IT_number 1
_cell_length_a 4.290
_cell_length_b 4.290
_cell_length_c 4.290
_cell_angle_alpha 90.00
_cell_angle_beta 90.00
_cell_angle_gamma 90.00
loop_
_space_group_symop_operation_xyz
'x,y,z'
loop_
_atom_site_label
_atom_site_fract_x
_atom_site_fract_y
_atom_site_fract_z
Al1 0.000 0.000 0.000
Cu1 0.000 0.500 0.000
Cu2 0.000 0.000 0.500
Cu3 0.500 0.000 0.000
Ta1 0.500 0.500 0.500
```

Crystalline Li2HgSe at its relaxed geometry, computed with GGA-PBE.

Computed properties:
Offset from the most stable computed form in meV per atom: 143
Density of states at the Fermi level in states/eV per cell: 0.01
Energy relative to the elements, uncorrected in meV/atom: -669

CIF file:
```
data_Li2HgSe
_space_group_name_H-M_alt 'P 1'
_space_group_IT_number 1
_cell_length_a 3.843
_cell_length_b 3.843
_cell_length_c 5.356
_cell_angle_alpha 90.00
_cell_angle_beta 90.00
_cell_angle_gamma 89.97
loop_
_space_group_symop_operation_xyz
'x,y,z'
loop_
_atom_site_label
_atom_site_fract_x
_atom_site_fract_y
_atom_site_fract_z
Li1 0.500 0.500 0.303
Li2 0.000 0.000 0.960
Se1 0.000 0.000 0.440
Hg1 0.500 0.500 0.796
```

Crystalline Mg2FeRe at its relaxed geometry, computed with GGA-PBE.

Computed properties:
Offset from the most stable computed form in meV per atom: 166
Density of states at the Fermi level in states/eV per cell: 2.42
Formation enthalpy at 0 K in eV per atom: 0.292

CIF file:
```
data_Mg2FeRe
_space_group_name_H-M_alt 'P 1'
_space_group_IT_number 1
_cell_length_a 2.683
_cell_length_b 2.683
_cell_length_c 8.993
_cell_angle_alpha 90.00
_cell_angle_beta 90.00
_cell_angle_gamma 105.95
loop_
_space_group_symop_operation_xyz
'x,y,z'
loop_
_atom_site_label
_atom_site_fract_x
_atom_site_fract_y
_atom_site_fract_z
Mg1 0.000 0.000 0.993
Mg2 0.000 0.000 0.507
Re1 0.500 0.500 0.250
Fe1 0.500 0.500 0.750
```

Crystalline Sc2TaBr at its relaxed geometry, computed with GGA-PBE.

Computed properties:
Offset from the most stable computed form in meV per atom: 732
Density of states at the Fermi level in states/eV per cell: 11.97
Energy relative to the elements, uncorrected in meV/atom: 430

CIF file:
```
data_Sc2TaBr
_space_group_name_H-M_alt 'P 1'
_space_group_IT_number 1
_cell_length_a 4.931
_cell_length_b 4.931
_cell_length_c 4.931
_cell_angle_alpha 60.00
_cell_angle_beta 60.00
_cell_angle_gamma 60.00
loop_
_space_group_symop_operation_xyz
'x,y,z'
loop_
_atom_site_label
_atom_site_fract_x
_atom_site_fract_y
_atom_site_fract_z
Br1 0.000 0.000 0.000
Sc1 0.250 0.250 0.250
Sc2 0.750 0.750 0.750
Ta1 0.500 0.500 0.500
```

- What is the formula in the second record?
  Li2HgSe

- The highest offset from the most stable computed form belongs to which entry?
  Sc2TaBr